Here is a relaxed structure of Y2CuTc from the Alexandria database. Energies are from PBE.

extended XYZ file:
```
8
Lattice="-1.988 -1.905 3.492 -0.463 -3.767 -2.318 6.964 -5.738 3.667" Properties=species:S:1:pos:R:3 pbc="T T T"
Y 4.307 -6.405 3.206
Y 3.075 -9.291 3.762
Cu -1.226 -2.836 0.587
Y 0.427 -3.108 2.833
Tc 0.000 0.000 0.000
Cu 2.638 -6.170 0.968
Y 1.216 -4.014 -0.119
Tc 1.875 -5.239 3.873
```

- Spin magnetization: 0.7 μB/cell
- Formation enthalpy at 0 K: 0.73 eV per atom
- Space-group type: No. 122